## ThTiTe2 (GGA-PBE)

Data for ThTiTe2 after structural relaxation.

The structure in CIF format:
```
data_ThTiTe2
_cell_length_a 10.230
_cell_length_b 10.230
_cell_length_c 10.230
_cell_angle_alpha 20.56
_cell_angle_beta 20.56
_cell_angle_gamma 20.56
_space_group_name_H-M_alt 'P 1'
_space_group_IT_number 1
loop_
_space_group_symop_operation_xyz
'x,y,z'
loop_
_atom_site_label
_atom_site_fract_x
_atom_site_fract_y
_atom_site_fract_z
_atom_site_occupancy
Th1 0.000 0.000 0.000 1
Ti1 0.500 0.500 0.500 1
Te1 0.107 0.107 0.107 1
Te2 0.893 0.893 0.893 1
```

Summary:
For the formation energy from raw total energies, the calculation gives -0.40 eV/atom.


## Mg3ZnC (GGA-PBE)

Data for Mg3ZnC after structural relaxation.

The structure in CIF format:
```
data_Mg3ZnC
_cell_length_a 4.404
_cell_length_b 4.404
_cell_length_c 4.404
_cell_angle_alpha 90.00
_cell_angle_beta 90.00
_cell_angle_gamma 90.00
_space_group_name_H-M_alt 'P 1'
_space_group_IT_number 1
loop_
_space_group_symop_operation_xyz
'x,y,z'
loop_
_atom_site_label
_atom_site_fract_x
_atom_site_fract_y
_atom_site_fract_z
_atom_site_occupancy
Mg1 0.000 0.000 0.500 1
Mg2 0.000 0.500 0.000 1
Mg3 0.500 0.000 0.000 1
Zn1 0.500 0.500 0.500 1
C1 0.000 0.000 0.000 1
```

Summary:
The energy is -2.88 eV per atom.


## Li3AuF (GGA-PBE)

Data for Li3AuF after structural relaxation.

The structure in CIF format:
```
data_Li3AuF
_cell_length_a 4.038
_cell_length_b 4.038
_cell_length_c 4.038
_cell_angle_alpha 90.00
_cell_angle_beta 90.00
_cell_angle_gamma 90.00
_space_group_name_H-M_alt 'P 1'
_space_group_IT_number 1
loop_
_space_group_symop_operation_xyz
'x,y,z'
loop_
_atom_site_label
_atom_site_fract_x
_atom_site_fract_y
_atom_site_fract_z
_atom_site_occupancy
Li1 0.000 0.000 0.500 1
Li2 0.000 0.500 0.000 1
Li3 0.500 0.000 0.000 1
Au1 0.500 0.500 0.500 1
F1 0.000 0.000 0.000 1
```

Summary:
For the formation energy from raw total energies, the calculation gives -1.35 eV/atom.


## Ta2MnZnAg (GGA-PBE)

Data for Ta2MnZnAg after structural relaxation.

The structure in CIF format:
```
data_Ta2MnZnAg
_cell_length_a 4.529
_cell_length_b 4.529
_cell_length_c 4.652
_cell_angle_alpha 90.00
_cell_angle_beta 90.00
_cell_angle_gamma 90.00
_space_group_name_H-M_alt 'P 1'
_space_group_IT_number 1
loop_
_space_group_symop_operation_xyz
'x,y,z'
loop_
_atom_site_label
_atom_site_fract_x
_atom_site_fract_y
_atom_site_fract_z
_atom_site_occupancy
Ta1 0.000 0.500 0.000 1
Ta2 0.500 0.000 0.000 1
Mn1 0.000 0.000 0.000 1
Zn1 0.000 0.000 0.500 1
Ag1 0.500 0.500 0.500 1
```

Summary:
The energy is -6.55 eV per atom.


## LaHo3Ni (GGA-PBE)

Data for LaHo3Ni after structural relaxation.

The structure in CIF format:
```
data_LaHo3Ni
_cell_length_a 5.330
_cell_length_b 5.330
_cell_length_c 5.330
_cell_angle_alpha 90.00
_cell_angle_beta 90.00
_cell_angle_gamma 90.00
_space_group_name_H-M_alt 'P 1'
_space_group_IT_number 1
loop_
_space_group_symop_operation_xyz
'x,y,z'
loop_
_atom_site_label
_atom_site_fract_x
_atom_site_fract_y
_atom_site_fract_z
_atom_site_occupancy
La1 0.000 0.000 0.000 1
Ho1 0.000 0.500 0.500 1
Ho2 0.500 0.000 0.500 1
Ho3 0.500 0.500 0.000 1
Ni1 0.500 0.500 0.500 1
```

Summary:
The energy is -4.99 eV per atom.


## MnPt2Se (GGA-PBE)

Data for MnPt2Se after structural relaxation.

The structure in CIF format:
```
data_MnPt2Se
_cell_length_a 6.161
_cell_length_b 6.161
_cell_length_c 6.161
_cell_angle_alpha 121.10
_cell_angle_beta 121.10
_cell_angle_gamma 88.10
_space_group_name_H-M_alt 'P 1'
_space_group_IT_number 1
loop_
_space_group_symop_operation_xyz
'x,y,z'
loop_
_atom_site_label
_atom_site_fract_x
_atom_site_fract_y
_atom_site_fract_z
_atom_site_occupancy
Mn1 0.000 0.000 0.000 1
Mn2 0.750 0.250 0.500 1
Pt1 0.100 0.625 0.975 1
Pt2 0.375 0.350 0.475 1
Pt3 0.650 0.125 0.025 1
Pt4 0.875 0.900 0.525 1
Se1 0.250 0.750 0.500 1
Se2 0.500 0.500 0.000 1
```

Summary:
For the formation energy from raw total energies, the calculation gives 0.52 eV/atom.


no.,M_tot (μB per atom)
1,0.154
2,0.000
3,0.000
4,0.000
5,0.000
6,0.000